# 1
Below is a crystal of Ba5Nb4O15 relaxed with PBEsol, with properties calculated at the meta-GGA SCAN level.

Calculated values
The calculation puts the formation energy without anion corrections at -3105 meV per atom. The crystal system is trigonal.

Unit cell a=5.812 b=5.812 c=11.817 alpha=90.00 beta=90.00 gamma=120.00
Fractional coordinates of all 24 atoms:
O (0.165, 0.331, 0.611)
O (0.000, 0.500, 0.000)
O (0.168, 0.336, 0.193)
O (0.336, 0.168, 0.807)
O (0.165, 0.835, 0.611)
Ba (0.667, 0.333, 0.210)
O (0.832, 0.664, 0.807)
Ba (0.667, 0.333, 0.571)
O (0.669, 0.835, 0.611)
Nb (0.333, 0.667, 0.105)
Nb (0.000, 0.000, 0.318)
Ba (0.000, 0.000, 0.000)
Nb (0.000, 0.000, 0.682)
Ba (0.333, 0.667, 0.429)
O (0.331, 0.165, 0.389)
O (0.168, 0.832, 0.193)
O (0.835, 0.165, 0.389)
Nb (0.667, 0.333, 0.895)
Ba (0.333, 0.667, 0.790)
O (0.664, 0.832, 0.193)
O (0.832, 0.168, 0.807)
O (0.500, 0.500, 0.000)
O (0.835, 0.669, 0.389)
O (0.500, 0.000, 0.000)



# 2
Below is a crystal of TlTcCl2 relaxed with PBEsol, with properties calculated at the meta-GGA SCAN level.

Calculated values
For the offset from the most stable computed form, the calculation gives 15.24 kcal/mol of atoms. The calculation puts the formation energy without anion corrections at 415 meV per atom. The crystal system is cubic.

Unit cell a=4.936 b=4.936 c=4.936 alpha=60.00 beta=60.00 gamma=60.00
Last column: magnetic moment on the atom in μB.
Fractional coordinates of all 4 atoms:
Cl (0.250, 0.250, 0.250)  0.06
Tl (0.750, 0.750, 0.750)  0.02
Cl (0.000, 0.000, 0.000)  0.10
Tc (0.500, 0.500, 0.500)  3.55



# 3
Below is a crystal of HgB2AuC relaxed with PBEsol, with properties calculated at the meta-GGA SCAN level.

Calculated values
The crystal system is tetragonal. Its total energy is -30.410 eV/atom.

Unit cell a=3.999 b=3.999 c=5.025 alpha=90.00 beta=90.00 gamma=90.00
Fractional coordinates of all 5 atoms:
C (0.000, 0.000, 0.500)
Hg (0.500, 0.500, 0.500)
B (0.500, 0.000, 0.000)
Au (0.000, 0.000, 0.000)
B (0.000, 0.500, 0.000)



# 4
Below is a crystal of ZrSc2In relaxed with PBEsol, with properties calculated at the meta-GGA SCAN level.

Calculated values
The crystal system is monoclinic. Its total energy is -23.358 eV/atom.

Unit cell a=3.173 b=5.329 c=5.479 alpha=107.83 beta=90.00 gamma=90.00
Fractional coordinates of all 4 atoms:
Sc (0.500, 0.000, 0.500)
Sc (0.000, 0.000, 0.000)
Zr (0.500, 0.500, 0.000)
In (0.000, 0.500, 0.500)



# 5
Below is a crystal of ZrCdPb2 relaxed with PBEsol, with properties calculated at the meta-GGA SCAN level.

Calculated values
The crystal system is tetragonal. Its total energy is -53.258 eV/atom.

Unit cell a=4.070 b=4.812 c=4.812 alpha=90.00 beta=90.00 gamma=90.00
Fractional coordinates of all 4 atoms:
Cd (0.500, 0.000, 0.000)
Pb (0.000, 0.500, 0.000)
Pb (0.000, 0.000, 0.500)
Zr (0.500, 0.500, 0.500)



# 6
Below is a crystal of YFeTe2As relaxed with PBEsol, with properties calculated at the meta-GGA SCAN level.

Calculated values
The calculation puts the formation energy without anion corrections at -32 meV per atom. The crystal system is tetragonal.

Unit cell a=4.314 b=5.465 c=5.465 alpha=90.00 beta=90.00 gamma=90.00
Last column: magnetic moment on the atom in μB.
Fractional coordinates of all 5 atoms:
Y (0.500, 0.500, 0.500)  -0.24
Fe (0.500, 0.000, 0.000)  2.72
Te (0.000, 0.000, 0.500)  0.07
As (0.000, 0.000, 0.000)  -0.08
Te (0.000, 0.500, 0.000)  0.07



# 7
Below is a crystal of YHg2Sb relaxed with PBEsol, with properties calculated at the meta-GGA SCAN level.

Calculated values
The calculation puts the formation energy without anion corrections at -500 meV per atom. The crystal system is tetragonal.

Unit cell a=4.298 b=4.298 c=5.989 alpha=111.03 beta=111.03 gamma=90.00
Fractional coordinates of all 4 atoms:
Sb (0.000, 0.000, 0.000)
Hg (0.750, 0.250, 0.500)
Hg (0.250, 0.750, 0.500)
Y (0.500, 0.500, 0.000)



# 8
Below is a crystal of K3HfCl relaxed with PBEsol, with properties calculated at the meta-GGA SCAN level.

Calculated values
The calculation puts the formation energy without anion corrections at 145 meV per atom. The crystal system is cubic.

Unit cell a=5.957 b=5.957 c=5.957 alpha=90.00 beta=90.00 gamma=90.00
Last column: magnetic moment on the atom in μB.
Fractional coordinates of all 5 atoms:
K (0.000, 0.000, 0.500)  0.03
Cl (0.000, 0.000, 0.000)  0.02
Hf (0.500, 0.500, 0.500)  1.61
K (0.000, 0.500, 0.000)  0.03
K (0.500, 0.000, 0.000)  0.03



Total moment (μB/cell)
0.00, 4.00, 0.00, 0.00, 0.00, 2.38, 0.00, 4.01